(1)
Computed, not measured: a crystal of Be2FeCuW relaxed with PBEsol at the SCAN level of DFT.

Computed properties:
size of the total moment	0.58	μB/atom
formation energy	0.912	eV/atom

Unit cell a=3.823 b=3.823 c=4.222 alpha=90.00 beta=90.00 gamma=90.00
Each line ends with the local moment (μB).
Fractional coordinates of all 5 atoms:
Be 0.000 0.500 0.000  -0.01
Be 0.500 0.000 0.000  -0.01
Cu 0.000 0.000 0.000  0.06
W 0.500 0.500 0.500  0.04
Fe 0.000 0.000 0.500  2.76

=====

(2)
Computed, not measured: a crystal of RbIr2Se relaxed with PBEsol at the SCAN level of DFT.

Computed properties:
size of the total moment	0.00	μB/atom
formation energy without anion corrections	1.160	eV per formula unit

Unit cell a=4.995 b=4.995 c=9.001 alpha=106.11 beta=106.11 gamma=90.00
Fractional coordinates of all 8 atoms:
Ir 0.625 0.375 0.750
Ir 0.125 0.375 0.750
Ir 0.625 0.875 0.250
Ir 0.625 0.375 0.250
Se 0.500 0.500 0.000
Se 0.750 0.250 0.500
Rb 0.000 0.000 0.000
Rb 0.250 0.750 0.500

=====

(3)
Computed, not measured: a crystal of Tl2ZnOs relaxed with PBEsol at the SCAN level of DFT.

Computed properties:
size of the total moment	0.16	μB/atom
polymorph energy (0 for the lowest one)	27.46	kJ/mol of atoms
formation energy	0.898	eV/atom

Unit cell a=3.142 b=4.641 c=5.190 alpha=90.00 beta=90.00 gamma=90.00
Each line ends with the local moment (μB).
Fractional coordinates of all 4 atoms:
Os 0.000 0.500 0.500  0.57
Tl 0.000 0.000 0.000  0.01
Tl 0.500 0.000 0.500  -0.01
Zn 0.500 0.500 0.000  -0.01

=====

(4)
Computed, not measured: a crystal of ZrCd2Au relaxed with PBEsol at the SCAN level of DFT.

Computed properties:
size of the total moment	0.00	μB/atom
formation energy	-0.309	eV/atom

Unit cell a=4.156 b=4.156 c=4.529 alpha=90.00 beta=90.00 gamma=90.00
Fractional coordinates of all 4 atoms:
Au 0.000 0.000 0.500
Zr 0.500 0.500 0.500
Cd 0.000 0.500 0.000
Cd 0.500 0.000 0.000

=====

(5)
Computed, not measured: a crystal of MgRh3N relaxed with PBEsol at the SCAN level of DFT.

Computed properties:
size of the total moment	0.00	μB/atom
formation energy without anion corrections	-1.035	eV per formula unit

Unit cell a=4.014 b=4.014 c=4.014 alpha=90.00 beta=90.00 gamma=90.00
Fractional coordinates of all 5 atoms:
Mg 0.500 0.500 0.500
Rh 0.000 0.500 0.000
Rh 0.000 0.000 0.500
Rh 0.500 0.000 0.000
N 0.000 0.000 0.000

=====

(6)
Computed, not measured: a crystal of B13C2 relaxed with PBEsol at the SCAN level of DFT.

Computed properties:
size of the total moment	0.00	μB/atom
formation energy	-0.116	eV/atom

Unit cell a=5.174 b=5.174 c=5.174 alpha=66.00 beta=66.00 gamma=66.00
Fractional coordinates of all 15 atoms:
C 0.620 0.620 0.620
C 0.380 0.380 0.380
B 0.500 0.500 0.500
B 0.318 0.804 0.804
B 0.804 0.804 0.318
B 0.804 0.318 0.804
B 0.196 0.682 0.196
B 0.682 0.196 0.196
B 0.196 0.196 0.682
B 0.324 0.008 0.008
B 0.008 0.008 0.324
B 0.008 0.324 0.008
B 0.992 0.676 0.992
B 0.676 0.992 0.992
B 0.992 0.992 0.676

=====

(7)
Computed, not measured: a crystal of FeNiPCl2 relaxed with PBEsol at the SCAN level of DFT.

Computed properties:
size of the total moment	0.43	μB/atom
formation energy without anion corrections	2.619	eV per formula unit

Unit cell a=4.245 b=4.537 c=4.537 alpha=90.00 beta=90.00 gamma=90.00
Each line ends with the local moment (μB).
Fractional coordinates of all 5 atoms:
Ni 0.500 0.500 0.500  1.29
Fe 0.000 0.000 0.000  0.83
P 0.500 0.000 0.000  -0.06
Cl 0.000 0.000 0.500  -0.01
Cl 0.000 0.500 0.000  -0.01

=====

(8)
Computed, not measured: a crystal of K2ReAg relaxed with PBEsol at the SCAN level of DFT.

Computed properties:
size of the total moment	0.23	μB/atom
polymorph energy (0 for the lowest one)	0.00	kJ/mol of atoms
formation energy	1.200	eV/atom

Unit cell a=2.697 b=5.646 c=6.002 alpha=90.00 beta=111.78 gamma=90.00
Each line ends with the local moment (μB).
Fractional coordinates of all 4 atoms:
Ag 0.500 0.500 0.000  0.01
K 0.091 0.000 0.751  0.01
K 0.909 0.000 0.249  0.01
Re 0.500 0.500 0.500  0.68

=====

Q: Which energy values were calculated for the entries above? A: -21.433 -45.464 -56.630 -40.480 -23.323 -7.901 -11.608 -28.581, in eV per atom.